(1)
A relaxed structure of Mn2AgCl. Source: Alexandria via LeMat-Bulk, functional PBE.

```
Mn2AgCl
1.0
3.085 0.000 0.000
0.000 3.085 0.000
0.000 0.000 7.451
Mn Ag Cl
2 1 1
Direct
0.000 0.000 0.011
0.000 0.000 0.489
0.500 0.500 0.250
0.500 0.500 0.750
```

Calculated total energy, eV/atom: -5.5228
Raw formation energy, eV/atom: 0.24
Distance to the lowest polymorph of the same formula, eV/atom: 0.129



(2)
A relaxed structure of Sm3HgSb2. Source: Alexandria via LeMat-Bulk, functional PBE.

```
Sm3HgSb2
1.0
-1.943 -4.796 -3.558
6.448 -5.108 3.364
-4.786 1.692 5.875
Sm Hg Sb
6 2 4
Direct
0.500 0.250 0.000
0.500 0.750 0.000
0.177 0.088 0.353
0.823 0.412 0.647
0.177 0.588 0.353
0.823 0.912 0.647
0.000 0.750 0.000
0.000 0.250 0.000
0.664 0.582 0.328
0.664 0.082 0.328
0.336 0.918 0.672
0.336 0.418 0.672
```

Calculated total energy, eV/atom: -4.6277
Raw formation energy, eV/atom: -0.84



(3)
A relaxed structure of MnOsRu2. Source: Alexandria via LeMat-Bulk, functional PBE.

```
MnOsRu2
1.0
2.687 0.000 0.000
0.000 3.779 0.000
0.000 0.000 5.343
Mn Os Ru
1 1 2
Direct
0.000 0.000 0.500
0.500 0.500 0.745
0.000 0.000 0.998
0.500 0.500 0.257
```

DFT formation energy, meV per atom: 95
Calculated total energy, eV/atom: -9.6432
Distance to the lowest polymorph of the same formula, eV/atom: 0.017



(4)
A relaxed structure of HoPa2Ga6. Source: Alexandria via LeMat-Bulk, functional PBE.

```
HoPa2Ga6
1.0
-2.371 -2.494 0.296
5.058 -5.155 -2.921
-0.320 1.217 7.688
Ho Pa Ga
1 2 6
Direct
0.000 0.000 0.000
0.000 0.333 0.667
0.000 0.667 0.333
0.500 0.332 0.332
0.500 0.668 0.668
0.500 0.000 0.668
0.500 0.668 0.000
0.500 0.332 0.000
0.500 0.000 0.332
```

DFT formation energy, meV per atom: -406
Calculated total energy, eV/atom: -5.0427
Distance to the lowest polymorph of the same formula, eV/atom: 0.000



(5)
A relaxed structure of InRu2Se. Source: Alexandria via LeMat-Bulk, functional PBE.

```
InRu2Se
1.0
-1.412 -1.061 -2.649
-1.064 -3.837 2.103
-3.894 1.818 1.347
In Ru Se
1 2 1
Direct
0.500 0.000 0.500
0.000 0.000 0.000
0.000 0.500 0.500
0.500 0.500 0.000
```

Calculated total energy, eV/atom: -5.9753
Raw formation energy, eV/atom: 0.22
Distance to the lowest polymorph of the same formula, eV/atom: 0.081



(6)
A relaxed structure of La2NiPt. Source: Alexandria via LeMat-Bulk, functional PBE.

```
La2NiPt
1.0
-3.863 -1.889 1.163
2.435 -1.903 4.996
-3.163 7.177 1.151
La Ni Pt
4 2 2
Direct
0.750 0.230 0.430
0.250 0.770 0.570
0.250 0.772 0.065
0.750 0.228 0.935
0.250 0.336 0.208
0.750 0.664 0.792
0.750 0.668 0.291
0.250 0.332 0.709
```

DFT formation energy, meV per atom: -764
Calculated total energy, eV/atom: -6.1836